No. 1
## MnTcCl (PBE-GGA)

Data for a relaxed MnTcCl crystal.

Raw formation energy (eV per atom): 0.169
SG: P3m1, No. 156
Crystal system: trigonal

Unit cell a=2.9981 b=2.9981 c=5.9668 alpha=90.00 beta=90.00 gamma=120.00
Each line ends with the local moment (μB).
Sites, in units of the cell vectors:
Tc1 0.3333 0.6667 0.6339  -0.52
Mn1 0.6667 0.3333 0.3359  3.05
Cl1 0.0000 0.0000 0.0302  0.03

***

No. 2
## Al3Cr4 (PBE-GGA)

Data for a relaxed Al3Cr4 crystal.

Raw total energy (eV/atom): -6.947
SG: P6/mmm, No. 191
Crystal system: hexagonal

Unit cell a=4.8684 b=4.8684 c=4.4388 alpha=90.00 beta=90.00 gamma=120.00
Each line ends with the local moment (μB).
Sites, in units of the cell vectors:
Al1 0.5000 0.0000 0.0000  0.00
Cr1 0.6667 0.3333 0.5000  0.36
Al2 0.5000 0.5000 0.0000  0.00
Cr2 0.0000 0.0000 0.7538  -0.12
Cr3 0.0000 0.0000 0.2462  -0.12
Al3 0.0000 0.5000 0.0000  0.00
Cr4 0.3333 0.6667 0.5000  0.36

***

No. 3
## CeSm2PaS8 (PBE-GGA)

Data for a relaxed CeSm2PaS8 crystal.

Raw formation energy (eV per atom): -1.594
SG: P-1, No. 2
Crystal system: triclinic

Unit cell a=6.3766 b=6.3719 c=8.4091 alpha=90.00 beta=90.00 gamma=90.65
Sites, in units of the cell vectors:
S1 0.1864 0.8100 0.7590
S2 0.7048 0.7084 0.9996
S3 0.3012 0.2959 0.4996
Sm1 0.4994 0.4995 0.7479
S4 0.6988 0.7041 0.5004
Sm2 0.5006 0.5005 0.2521
S5 0.8138 0.1902 0.7590
Pa1 0.0000 0.0000 0.0000
S6 0.8136 0.1900 0.2410
S7 0.1862 0.8098 0.2410
S8 0.2952 0.2916 0.0004
Ce1 0.0000 0.0000 0.5000

***

No. 4
## K2TaReGe (PBE-GGA)

Data for a relaxed K2TaReGe crystal.

Raw total energy (eV/atom): -4.471
SG: P4/mmm, No. 123
Crystal system: tetragonal

Unit cell a=6.3090 b=4.7298 c=6.3090 alpha=90.00 beta=90.00 gamma=90.00
Each line ends with the local moment (μB).
Sites, in units of the cell vectors:
K1 0.5000 0.0000 0.0000  0.01
Ge1 0.5000 0.5000 0.5000  0.35
Ta1 0.0000 0.5000 0.0000  -0.58
K2 0.0000 0.0000 0.5000  0.01
Re1 0.0000 0.0000 0.0000  1.21

***

No. 5
## ReRu2Cl (PBE-GGA)

Data for a relaxed ReRu2Cl crystal.

Raw formation energy (eV per atom): 0.608
SG: Cmmm, No. 65
Crystal system: orthorhombic

Unit cell a=2.8291 b=2.8291 c=8.7862 alpha=90.00 beta=90.00 gamma=120.30
Each line ends with the local moment (μB).
Sites, in units of the cell vectors:
Re1 0.5000 0.5000 0.7500  0.03
Ru1 0.0000 0.0000 0.5000  0.32
Ru2 0.0000 0.0000 0.0000  0.32
Cl1 0.5000 0.5000 0.2500  0.02

***

No. 6
## CaCdTc2F (PBE-GGA)

Data for a relaxed CaCdTc2F crystal.

Raw formation energy (eV per atom): 0.220
SG: P4/mmm, No. 123
Crystal system: tetragonal

Unit cell a=4.3251 b=4.5758 c=4.3251 alpha=90.00 beta=90.00 gamma=90.00
Each line ends with the local moment (μB).
Sites, in units of the cell vectors:
Ca1 0.0000 0.5000 0.0000  -0.01
Tc1 0.5000 0.0000 0.0000  0.57
Tc2 0.0000 0.0000 0.5000  0.67
Cd1 0.5000 0.5000 0.5000  -0.01
F1 0.0000 0.0000 0.0000  -0.01

***

Number 1: magnetic moment 0.89 μB per atom. Number 2: magnetic moment 0.07 μB per atom. Number 3: magnetic moment 0.00 μB per atom. Number 4: magnetic moment 0.31 μB per atom. Number 5: magnetic moment 0.18 μB per atom. Number 6: magnetic moment 0.25 μB per atom.